1.
Compound: CaAcNd2Se4
Source: Alexandria
Functional: PBE
Structure: optimized geometry

## Properties
* ΔE_f (raw): -1.87 eV per atom
* space group: P2/m

Cell lengths 4.2636, 7.4598, 7.4365 Å; angles 70.94, 90.00, 90.00 degrees
Element x y z (fractional)
1 Se 0.5000 0.2501 0.7408
2 Se 0.0000 0.7561 0.7372
3 Se 0.5000 0.7499 0.2592
4 Se 0.0000 0.2439 0.2628
5 Ca 0.0000 0.5000 0.5000
6 Nd 0.5000 0.0000 0.5000
7 Nd 0.0000 0.0000 0.0000
8 Ac 0.5000 0.5000 0.0000

=====

2.
Compound: CaAc5Nd2Sm
Source: Alexandria
Functional: PBE
Structure: optimized geometry

## Properties
* formation enthalpy at 0 K: 264 meV/atom
* space group: I4/mcm

Cell lengths 8.5494, 8.5494, 12.0485 Å; angles 110.78, 110.78, 90.00 degrees
Element x y z (fractional)
1 Ca 0.2500 0.7500 0.5000
2 Ca 0.7500 0.2500 0.5000
3 Nd 0.6213 0.1213 0.0000
4 Nd 0.8787 0.6213 0.0000
5 Nd 0.3787 0.8787 0.0000
6 Nd 0.1213 0.3787 0.0000
7 Ac 0.5883 0.6437 0.7320
8 Ac 0.1437 0.0883 0.7320
9 Ac 0.9117 0.4117 0.2680
10 Ac 0.0000 0.0000 0.0000
11 Ac 0.4117 0.3563 0.2680
12 Ac 0.5000 0.5000 0.0000
13 Ac 0.0883 0.5883 0.7320
14 Ac 0.6437 0.1437 0.7320
15 Ac 0.8563 0.9117 0.2680
16 Ac 0.3563 0.8563 0.2680
17 Sm 0.2500 0.2500 0.5000
18 Sm 0.7500 0.7500 0.5000

=====

3.
Compound: CaAcNdSn
Source: Alexandria
Functional: PBE
Structure: optimized geometry

## Properties
* formation enthalpy at 0 K: -240 meV/atom
* space group: F-43m

Cell lengths 5.7594, 5.7594, 5.7594 Å; angles 60.00, 60.00, 60.00 degrees
Element x y z (fractional)
1 Sn 0.7500 0.7500 0.7500
2 Ac 0.0000 0.0000 0.0000
3 Ca 0.2500 0.2500 0.2500
4 Nd 0.5000 0.5000 0.5000

=====

4.
Compound: SrCaAcNd
Source: Alexandria
Functional: PBE
Structure: optimized geometry

## Properties
* formation enthalpy at 0 K: 57 meV/atom
* space group: R3m

Cell lengths 3.9295, 3.9306, 13.1748 Å; angles 90.01, 98.55, 120.00 degrees
Element x y z (fractional)
1 Ac 0.3105 0.5530 0.8788
2 Ca 0.4730 0.1343 0.6228
3 Nd 0.1294 0.9628 0.1075
4 Sr 0.9651 0.3808 0.3605